22
Lattice="3.9962 -1.8088 0.0000 3.9962 1.8088 0.0000 -0.8755 0.0000 31.1670" Properties=species:S:1:pos:R:3 comment="Cu9Te2 GGA-PBE optimized geometry" total_energy_ev_per_atom=-3.540 e_above_lowest_polymorph_mev_per_atom=0 space_group=C2/m pbc="T T T"
Cu 3.9712 0.0000 8.6012
Cu 1.6203 0.0000 9.4501
Cu 7.2190 0.0000 10.2967
Cu 4.8051 0.0000 11.0813
Cu 2.3968 0.0000 11.9088
Cu 0.0000 0.0000 12.7384
Cu 5.5831 0.0000 13.5395
Cu 3.1742 0.0000 14.3587
Cu 0.7700 0.0000 15.1829
Cu 6.3469 0.0000 15.9840
Cu 3.9426 0.0000 16.8082
Cu 1.5338 0.0000 17.6274
Cu 7.1168 0.0000 18.4285
Cu 4.7201 0.0000 19.2582
Cu 2.3118 0.0000 20.0856
Cu -0.1021 0.0000 20.8703
Cu 5.4966 0.0000 21.7168
Cu 3.1457 0.0000 22.5657
Te 1.6842 0.0000 5.0182
Te 6.2353 0.0000 7.2758
Te 0.8816 0.0000 23.8912
Te 5.4327 0.0000 26.1488